1.
VASP calculation (SCAN) on YSc2Re at its PBEsol-relaxed geometry.

Structure (POSCAR):
```
YSc2Re
1.0
4.838 0.000 0.000
2.419 4.190 0.000
2.419 1.397 3.950
Re Sc Y
1 2 1
Direct
0.500 0.500 0.500 Re
0.250 0.250 0.250 Sc
0.750 0.750 0.750 Sc
0.000 0.000 0.000 Y
```

E_form	0.118	eV per atom
volume	80	Å³ per cell
SG	Fm-3m
magnetic moment	0.0	μB/f.u.

---

2.
VASP calculation (SCAN) on Li2SnH10O8 at its PBEsol-relaxed geometry.

Structure (POSCAR):
```
Li2SnH10O8
1.0
4.856 0.000 -0.038
0.000 6.928 0.000
-1.574 0.000 10.016
Li Sn H O
4 2 20 16
Direct
0.565 0.718 0.177 Li
0.065 0.782 0.677 Li
0.435 0.282 0.823 Li
0.935 0.218 0.323 Li
0.000 0.000 0.000 Sn
0.500 0.500 0.500 Sn
0.016 0.663 0.091 H
0.516 0.837 0.591 H
0.984 0.337 0.909 H
0.484 0.163 0.409 H
0.502 0.048 0.140 H
0.002 0.452 0.640 H
0.498 0.952 0.860 H
0.998 0.548 0.360 H
0.726 0.278 0.085 H
0.226 0.222 0.585 H
0.274 0.722 0.915 H
0.774 0.778 0.415 H
0.242 0.480 0.215 H
0.742 0.020 0.715 H
0.758 0.520 0.785 H
0.258 0.980 0.285 H
0.256 0.406 0.059 H
0.756 0.094 0.559 H
0.744 0.594 0.941 H
0.244 0.906 0.441 H
0.844 0.745 0.062 O
0.344 0.755 0.562 O
0.156 0.255 0.938 O
0.656 0.245 0.438 O
0.341 0.957 0.148 O
0.841 0.543 0.648 O
0.659 0.043 0.852 O
0.159 0.457 0.352 O
0.795 0.160 0.133 O
0.295 0.340 0.633 O
0.205 0.840 0.867 O
0.705 0.660 0.367 O
0.296 0.518 0.124 O
0.796 0.982 0.624 O
0.704 0.482 0.876 O
0.204 0.018 0.376 O
```

volume	337	Å³ per cell
calculated total energy	-0.5379	Ry per atom
SG	P2_1/c
magnetic moment	0.0	μB/f.u.

---

3.
VASP calculation (SCAN) on ZnPSeN2 at its PBEsol-relaxed geometry.

Structure (POSCAR):
```
ZnPSeN2
1.0
3.381 0.000 0.000
0.000 3.381 0.000
0.000 0.000 5.912
P Zn Se N
1 1 1 2
Direct
0.000 0.000 0.000 P
0.500 0.500 0.500 Zn
0.000 0.000 0.500 Se
0.000 0.500 0.000 N
0.500 0.000 0.000 N
```

volume	68	Å³ per cell
SG	P4/mmm
E_form (uncorrected)	0.578	eV/atom
magnetic moment	0.0	μB/f.u.

---

4.
VASP calculation (SCAN) on Re2PdAu at its PBEsol-relaxed geometry.

Structure (POSCAR):
```
Re2PdAu
1.0
-2.069 2.713 -2.786
-4.075 1.403 0.911
-0.683 4.205 1.120
Re Au Pd
2 1 1
Direct
0.250 0.250 0.250 Re
0.750 0.750 0.750 Re
0.500 0.500 0.500 Au
0.000 0.000 0.000 Pd
```

E_form	0.855	eV per atom
volume	60	Å³ per cell
SG	Fm-3m
magnetic moment	0.0	μB/f.u.

---

| no. | DOS(E_F) (states/eV/f.u.) |
| --- | --- |
| 1 | 3.161 |
| 2 | 0.000 |
| 3 | 2.047 |
| 4 | 5.239 |